DFT (GGA-PBE) results for crystalline MgUCoRu at its relaxed geometry.

Summary:
**Electronic total energy**: -0.271 hartree per atom

Cell lengths 6.429, 6.429, 6.429 Å; angles 90.00, 90.00, 90.00 degrees
Space group F-43m (No. 216)
Unique sites:
Mg1 0.000 0.000 0.000 (multiplicity 4)
U1 0.000 0.000 0.500 (multiplicity 4)
Co1 0.250 0.250 0.750 (multiplicity 4)
Ru1 0.250 0.250 0.250 (multiplicity 4)